Record 1
Compound: PmEuTl
Source: Alexandria via LeMat-Bulk
Functional: PBE
Structure: relaxed

It has space group F-43m (No. 216), with a = 7.641 Å, b = 7.641 Å, c = 7.641 Å, α = 90.00°, β = 90.00° and γ = 90.00°. The inequivalent atoms are Pm at (0.000, 0.000, 0.000), Eu at (0.000, 0.000, 0.500) and Tl at (0.250, 0.250, 0.750).

Its excess energy over the best structure of this formula in the dataset is 135 meV/atom. The value obtained for the total magnetization is 7.44 μB/f.u.


Record 2
Compound: PmEuTl2
Source: Alexandria via LeMat-Bulk
Functional: PBE
Structure: relaxed

It has space group R-3m (No. 166, hexagonal axes), with a = 3.8632 Å, b = 3.8632 Å, c = 30.1778 Å, α = 90.00°, β = 90.00° and γ = 120.00°. The inequivalent atoms are Pm at (0.0000, 0.0000, 0.0000), Eu at (0.0000, 0.0000, 0.5000) and Tl at (0.0000, 0.0000, 0.2515).

As for the total energy: -5.205 eV/atom. The value obtained for the total magnetization is 7.29 μB/f.u.


Record 3
Compound: PmEuTlZn
Source: Alexandria via LeMat-Bulk
Functional: PBE
Structure: relaxed

It has space group F-43m (No. 216), with a = 7.661 Å, b = 7.661 Å, c = 7.661 Å, α = 90.00°, β = 90.00° and γ = 90.00°. The inequivalent atoms are Pm at (0.000, 0.000, 0.000), Eu at (0.000, 0.000, 0.500), Tl at (0.250, 0.250, 0.250) and Zn at (0.250, 0.250, 0.750).

As for the total energy: -4.989 eV/atom. The value obtained for the total magnetization is 7.35 μB/f.u.


Please write out number 3 again, unchanged.
Compound: PmEuTlZn
Source: Alexandria via LeMat-Bulk
Functional: PBE
Structure: relaxed

It has space group F-43m (No. 216), with a = 7.661 Å, b = 7.661 Å, c = 7.661 Å, α = 90.00°, β = 90.00° and γ = 90.00°. The inequivalent atoms are Pm at (0.000, 0.000, 0.000), Eu at (0.000, 0.000, 0.500), Tl at (0.250, 0.250, 0.250) and Zn at (0.250, 0.250, 0.750).

As for the total energy: -4.989 eV/atom. The value obtained for the total magnetization is 7.35 μB/f.u.


What is the total magnetization in the third record?
7.35 μB/f.u.